# 1
Material: PrHo7Er4
Method: DFT, PBE
State: relaxed

Unit cell a=6.1691 b=7.1303 c=8.7742 alpha=89.95 beta=76.30 gamma=89.91
With the nearest neighbours (Å) after each atom.
Fractional positions:
Pr  0.0000  0.0000  0.0000  10 Ho 3.53-3.57, 2 Er 3.53
Ho  0.0000  0.5000  0.0000  4 Er 3.52, 6 Ho 3.52-3.56, 2 Pr 3.57
Ho  0.2224  0.0004  0.3349  6 Ho 3.49-3.57, 5 Er 3.49-3.58, 1 Pr 3.53
Ho  0.2793  0.7480  0.6642  6 Er 3.47-3.59, 5 Ho 3.49-3.57, 1 Pr 3.53
Ho  0.4999  0.2515  0.0000  3 Er 3.51-3.52, 7 Ho 3.52-3.59, 2 Pr 3.57
Ho  0.5001  0.7485  0.0000  3 Er 3.51-3.52, 7 Ho 3.52-3.59, 2 Pr 3.57
Ho  0.7207  0.2520  0.3358  6 Er 3.47-3.59, 5 Ho 3.49-3.57, 1 Pr 3.53
Ho  0.7776  0.9996  0.6651  6 Ho 3.49-3.57, 5 Er 3.49-3.58, 1 Pr 3.53
Er  0.2208  0.5002  0.3349  4 Er 3.48-3.56, 8 Ho 3.48-3.57
Er  0.2791  0.2514  0.6645  8 Ho 3.47-3.59, 3 Er 3.48-3.56, 1 Pr 3.53
Er  0.7209  0.7486  0.3355  8 Ho 3.47-3.59, 3 Er 3.48-3.56, 1 Pr 3.53
Er  0.7792  0.4998  0.6651  4 Er 3.48-3.56, 8 Ho 3.48-3.57

Values from the calculation:
Calculated formation energy = -1 meV/atom
Raw total energy = -4.591 eV/atom
Magnetic moment = 0.00 μB/atom
Space group = P-1, No. 2

# 2
Material: PrHoEr
Method: DFT, PBE
State: relaxed

Unit cell a=8.2213 b=8.2213 c=3.4411 alpha=90.00 beta=90.00 gamma=90.86
With the nearest neighbours (Å) after each atom.
Fractional positions:
Pr  0.2398  0.7602  0.0000  3 Er 3.05-3.29
Pr  0.7602  0.2398  0.0000  3 Er 3.05-3.29
Ho  0.2622  0.2622  0.5000  3 Er 3.03-3.24
Ho  0.7378  0.7378  0.5000  3 Er 3.03-3.24
Er  0.0000  0.0000  0.5000  2 Ho 3.03, 4 Pr 3.29
Er  0.5000  0.5000  0.0000  2 Pr 3.05, 4 Ho 3.24

Values from the calculation:
Calculated formation energy = 653 meV/atom
Raw total energy = -3.987 eV/atom
Magnetic moment = 0.00 μB/atom
Space group = Cmmm, No. 65

# 3
Material: Pr5Ho6Er2
Method: DFT, PBE
State: relaxed

Unit cell a=11.6546 b=20.6291 c=3.6089 alpha=90.00 beta=90.00 gamma=90.00
With the nearest neighbours (Å) after each atom.
Fractional positions:
Pr  0.0000  0.0000  0.0000  6 Ho 3.39-3.52, 4 Pr 3.61-3.68
Pr  0.0829  0.2724  0.0000  5 Ho 3.36-3.52, 4 Er 3.49-3.62, 2 Pr 3.61
Pr  0.1976  0.5511  0.0000  6 Ho 3.56-3.63, 3 Pr 3.61-3.68, 2 Er 3.77
Pr  0.3024  0.0511  0.0000  6 Ho 3.56-3.63, 3 Pr 3.61-3.68, 2 Er 3.77
Pr  0.4171  0.7724  0.0000  5 Ho 3.36-3.52, 4 Er 3.49-3.62, 2 Pr 3.61
Pr  0.5000  0.5000  0.0000  6 Ho 3.39-3.52, 4 Pr 3.61-3.68
Pr  0.5829  0.2276  0.0000  5 Ho 3.36-3.52, 4 Er 3.49-3.62, 2 Pr 3.61
Pr  0.6976  0.9489  0.0000  6 Ho 3.56-3.63, 3 Pr 3.61-3.68, 2 Er 3.77
Pr  0.8024  0.4489  0.0000  6 Ho 3.56-3.63, 3 Pr 3.61-3.68, 2 Er 3.77
Pr  0.9171  0.7276  0.0000  5 Ho 3.36-3.52, 4 Er 3.49-3.62, 2 Pr 3.61
Ho  0.0634  0.4186  0.5000  6 Pr 3.52-3.63, 5 Ho 3.61-3.74, 1 Er 3.82
Ho  0.0810  0.1317  0.5000  1 Er 3.31, 6 Pr 3.39-3.56, 4 Ho 3.48-3.61
Ho  0.1744  0.8606  0.0000  2 Pr 3.36-3.52, 6 Ho 3.48-3.74, 2 Er 3.58
Ho  0.3256  0.3606  0.0000  2 Pr 3.36-3.52, 6 Ho 3.48-3.74, 2 Er 3.58
Ho  0.4190  0.6317  0.5000  1 Er 3.31, 6 Pr 3.39-3.56, 4 Ho 3.48-3.61
Ho  0.4366  0.9186  0.5000  6 Pr 3.52-3.63, 5 Ho 3.61-3.74, 1 Er 3.82
Ho  0.5634  0.0814  0.5000  6 Pr 3.52-3.63, 5 Ho 3.61-3.74, 1 Er 3.82
Ho  0.5810  0.3683  0.5000  1 Er 3.31, 6 Pr 3.39-3.56, 4 Ho 3.48-3.61
Ho  0.6744  0.6394  0.0000  2 Pr 3.36-3.52, 6 Ho 3.48-3.74, 2 Er 3.58
Ho  0.8256  0.1394  0.0000  2 Pr 3.36-3.52, 6 Ho 3.48-3.74, 2 Er 3.58
Ho  0.9190  0.8683  0.5000  1 Er 3.31, 6 Pr 3.39-3.56, 4 Ho 3.48-3.61
Ho  0.9366  0.5814  0.5000  6 Pr 3.52-3.63, 5 Ho 3.61-3.74, 1 Er 3.82
Er  0.1714  0.7107  0.5000  3 Ho 3.31-3.58, 4 Pr 3.49-3.62, 2 Er 3.61
Er  0.3286  0.2107  0.5000  3 Ho 3.31-3.58, 4 Pr 3.49-3.62, 2 Er 3.61
Er  0.6714  0.7893  0.5000  3 Ho 3.31-3.58, 4 Pr 3.49-3.62, 2 Er 3.61
Er  0.8286  0.2893  0.5000  3 Ho 3.31-3.58, 4 Pr 3.49-3.62, 2 Er 3.61

Values from the calculation:
Calculated formation energy = 95 meV/atom
Raw total energy = -4.558 eV/atom
Magnetic moment = 0.00 μB/atom
Space group = Pbam, No. 55